# 1
A plane-wave DFT calculation with GGA-PBE was carried out for a relaxed KSr3Au crystal.

Values from the calculation:
As for the calculated formation energy: -0.316 eV per atom. For the total energy, the calculation gives -11.00 eV per cell. As for the polymorph energy (0 for the lowest one): 0 meV/atom. The spin magnetization comes out at 0.000 Bohr magnetons per cell. As for the volume: 49.40 A^3/atom.

extended XYZ file:
```
5
Lattice="6.274 0.000 0.000 0.000 6.274 0.000 0.000 0.000 6.274" Properties=species:S:1:pos:R:3 pbc="T T T"
K 0.000 0.000 0.000
Sr 0.000 3.137 3.137
Sr 3.137 0.000 3.137
Sr 3.137 3.137 0.000
Au 3.137 3.137 3.137
```

***

# 2
A plane-wave DFT calculation with GGA-PBE was carried out for a relaxed PrNb2Ru3 crystal.

Values from the calculation:
As for the calculated formation energy: -0.211 eV per atom. For the total energy, the calculation gives -54.01 eV per cell. The spin magnetization comes out at 0.000 Bohr magnetons per cell. As for the volume: 18.18 A^3/atom.

extended XYZ file:
```
6
Lattice="3.189 0.000 0.000 0.000 3.189 0.000 0.000 0.000 10.726" Properties=species:S:1:pos:R:3 pbc="T T T"
Pr 0.000 0.000 0.000
Nb 0.000 0.000 3.691
Nb 0.000 0.000 7.035
Ru 1.595 1.595 2.309
Ru 1.595 1.595 5.363
Ru 1.595 1.595 8.417
```

***

# 3
A plane-wave DFT calculation with GGA-PBE was carried out for a relaxed Sr6Bi3P crystal.

Values from the calculation:
As for the calculated formation energy: -0.914 eV per atom. For the total energy, the calculation gives -72.57 eV per cell. The spin magnetization comes out at 0.000 Bohr magnetons per cell. As for the volume: 40.98 A^3/atom.

extended XYZ file:
```
20
Lattice="8.112 0.000 0.000 0.000 8.715 0.000 -7.998 0.000 11.594" Properties=species:S:1:pos:R:3 pbc="T T T"
Sr -1.075 0.555 2.762
Sr -5.074 3.802 8.559
Sr 1.411 6.122 0.822
Sr -2.588 6.951 6.618
Sr 2.463 1.549 0.713
Sr -1.536 2.808 6.510
Sr 1.649 5.907 5.084
Sr -2.350 7.166 10.881
Sr 2.701 1.764 4.975
Sr -1.298 2.593 10.772
Sr 5.187 4.913 3.035
Sr 1.188 8.160 8.831
Bi -3.758 0.688 8.732
Bi 0.241 3.669 2.936
Bi 0.057 0.000 5.797
Bi 4.056 4.357 0.000
Bi -0.128 5.046 8.658
Bi 3.871 8.027 2.861
P 0.000 0.000 0.000
P -3.999 4.357 5.797
```

***

# 4
A plane-wave DFT calculation with GGA-PBE was carried out for a relaxed Rb2NaCd crystal.

Values from the calculation:
As for the calculated formation energy: 0.034 eV per atom. For the total energy, the calculation gives -4.03 eV per cell. The spin magnetization comes out at 0.000 Bohr magnetons per cell. As for the volume: 52.84 A^3/atom.

extended XYZ file:
```
4
Lattice="4.661 0.000 0.000 0.000 4.661 0.000 0.000 0.000 9.730" Properties=species:S:1:pos:R:3 pbc="T T T"
Rb 0.000 0.000 2.198
Rb 0.000 0.000 7.532
Na 2.330 2.330 4.865
Cd 2.330 2.330 0.000
```

***

# 5
A plane-wave DFT calculation with GGA-PBE was carried out for a relaxed Ba3Zr2S7 crystal.

Values from the calculation:
The uncorrected formation energy is -1780 meV per atom. For the total energy, the calculation gives -73.12 eV per cell. As for the polymorph energy (0 for the lowest one): 80 meV/atom. The spin magnetization comes out at 0.000 Bohr magnetons per cell. As for the volume: 27.28 A^3/atom.

extended XYZ file:
```
12
Lattice="2.543 -12.975 0.000 2.543 12.975 0.000 0.000 0.000 4.961" Properties=species:S:1:pos:R:3 pbc="T T T"
Ba 0.000 0.000 0.000
Ba 2.543 8.338 0.000
Ba 2.543 -8.338 0.000
Zr 2.543 2.628 2.480
Zr 2.543 -2.628 2.480
S 2.543 10.507 2.480
S 2.543 5.141 2.480
S 2.543 2.536 0.000
S 2.543 0.000 2.480
S 2.543 -2.536 0.000
S 2.543 -5.141 2.480
S 2.543 -10.507 2.480
```

***

# 6
A plane-wave DFT calculation with GGA-PBE was carried out for a relaxed Cs5Cr2Cl12 crystal.

Values from the calculation:
The uncorrected formation energy is -1526 meV per atom. For the total energy, the calculation gives -74.67 eV per cell. The spin magnetization comes out at 4.679 Bohr magnetons per cell. As for the volume: 41.62 A^3/atom.

extended XYZ file:
```
19
Lattice="8.802 0.000 0.000 3.320 8.165 0.000 1.727 0.018 11.002" Properties=species:S:1:pos:R:3 pbc="T T T"
Cs 0.000 0.000 0.000
Cs 3.304 1.430 5.068
Cs 6.967 4.003 8.010
Cs 6.882 4.180 2.992
Cs 10.545 6.752 5.934
Cr 2.811 3.636 1.379
Cr 11.038 4.546 9.624
Cl 3.915 5.832 8.652
Cl 3.222 4.644 3.402
Cl 3.907 2.853 10.173
Cl 4.440 4.951 0.418
Cl 4.277 1.930 1.634
Cl 7.227 6.353 5.551
Cl 6.622 1.830 5.452
Cl 9.572 6.253 9.369
Cl 9.408 3.232 10.585
Cl 9.941 5.330 0.829
Cl 10.627 3.539 7.600
Cl 9.933 2.351 2.350
```

***

# 7
A plane-wave DFT calculation with GGA-PBE was carried out for a relaxed Hg2PdPb3 crystal.

Values from the calculation:
As for the calculated formation energy: -0.072 eV per atom. For the total energy, the calculation gives -34.70 eV per cell. The spin magnetization comes out at 0.000 Bohr magnetons per cell. As for the volume: 27.12 A^3/atom.

extended XYZ file:
```
12
Lattice="2.902 -10.318 0.000 2.902 10.318 0.000 -2.402 0.000 5.434" Properties=species:S:1:pos:R:3 pbc="T T T"
Hg 0.257 0.687 2.552
Hg -0.944 -0.687 5.269
Hg 4.347 0.687 0.165
Hg 3.146 -0.687 2.882
Pd 2.302 5.122 1.358
Pd 1.101 -5.122 4.075
Pb -0.347 2.859 5.020
Pb 1.101 6.034 4.075
Pb 0.854 -2.859 2.303
Pb 2.549 2.859 3.130
Pb 2.302 -6.034 1.358
Pb 3.750 -2.859 0.414
```

***

# 8
A plane-wave DFT calculation with GGA-PBE was carried out for a relaxed HPbBr3 crystal.

Values from the calculation:
For the total energy, the calculation gives -12.15 eV per cell. As for the polymorph energy (0 for the lowest one): 619 meV/atom. The spin magnetization comes out at 0.000 Bohr magnetons per cell. As for the volume: 22.98 A^3/atom.

extended XYZ file:
```
5
Lattice="4.861 0.000 0.000 0.000 4.861 0.000 0.000 0.000 4.861" Properties=species:S:1:pos:R:3 pbc="T T T"
H 0.000 0.000 0.000
Pb 2.431 2.431 2.431
Br 0.000 0.000 2.431
Br 0.000 2.431 0.000
Br 2.431 0.000 0.000
```